# 1
The following is a DFT calculation (PBE) of crystalline BaPmCrN3 at its relaxed geometry.

Lattice parameters (Å, degrees): 3.830 6.973 7.719 105.07 90.00 105.94
Fractional coordinates of all 12 atoms:
Ba 0.361 0.723 0.924
Ba 0.639 0.277 0.076
Pm 0.654 0.307 0.570
Pm 0.346 0.693 0.430
Cr 0.997 0.995 0.307
Cr 0.003 0.005 0.693
N 0.860 0.721 0.206
N 0.845 0.691 0.646
N 0.504 0.009 0.305
N 0.155 0.309 0.354
N 0.496 0.991 0.695
N 0.140 0.279 0.794

Summary:
The total magnetic moment comes out at 0.000 μB/atom. The calculation puts the uncorrected formation energy at -4.50 eV/f.u.

***

# 2
The following is a DFT calculation (PBE) of crystalline LiCa2Ho at its relaxed geometry.

Lattice parameters (Å, degrees): 3.705 3.705 11.730 80.83 80.83 59.98
Fractional coordinates of all 4 atoms:
Li 0.667 0.667 0.000
Ca 0.080 0.080 0.758
Ca 0.253 0.253 0.242
Ho 0.500 0.500 0.499

Summary:
The energy above the most stable polymorph in this dataset comes out at 12 meV/atom. The total magnetic moment comes out at 0.131 μB/atom. As for the calculated formation energy: 0.48 eV/f.u.

***

> Among the records above, which one has the highest total magnetic moment?

LiCa2Ho

***

> What is the total magnetic moment in the first record?

0.000 μB/atom

***

> Number 1 is which compound?

BaPmCrN3